VASP calculation (PBE-GGA) on crystalline HgIrPd2 at its relaxed geometry.

Results
Symmetry: I-42d
Mass density, Mg/m³: 14.01
Crystal system: tetragonal
Energy, eV/atom: -4.37

Cell and atoms, written as POSCAR:
```
HgIrPd2
1.0
3.911 0.000 0.000
0.000 3.911 0.000
1.956 1.956 9.387
Ir Hg Pd
2 2 4
Direct
0.500 0.500 0.000
0.250 0.750 0.500
0.000 0.000 0.000
0.750 0.250 0.500
0.608 0.125 0.250
0.142 0.625 0.250
0.375 0.392 0.750
0.875 0.858 0.750
```